Here is an optimized crystal structure of MnPbF2 from Alexandria. Energies are from PBE+U.

Cell lengths 4.6249, 4.6249, 4.6249 Å; angles 60.00, 60.00, 60.00 degrees
Atoms (fractional coordinates):
1 Pb 0.5000 0.5000 0.5000
2 Mn 0.0000 0.0000 0.0000
3 F 0.2500 0.2500 0.2500
4 F 0.7500 0.7500 0.7500

Output
Mass density in kg/m³: 7125
Crystal system: cubic
Polymorph energy (0 for the lowest one) in kJ/mol of formula units: 271